## CuP2Ru (PBE)

Data for crystalline CuP2Ru at its relaxed geometry.

For the energy above the most stable polymorph in this dataset, the calculation gives 200 meV per atom. As for the energy of formation from the pure elements: 0.0491 eV per atom. The crystal system is tetragonal. The total energy is -24.00 eV per formula unit.

The space group is P4/mmm (No. 123) and the conventional cell measures 2.901, 2.901 and 6.376 Å, with angles of 90.00, 90.00 and 90.00 degrees. The asymmetric unit holds Cu at (0.000, 0.000, 0.000), P at (0.500, 0.500, 0.264) and Ru at (0.000, 0.000, 0.500).

## Mn4CoMo (PBE)

Data for crystalline Mn4CoMo at its relaxed geometry.

As for the energy of formation from the pure elements: 0.0724 eV per atom. The crystal system is cubic. The total energy is -54.18 eV per formula unit.

The space group is F-43m (No. 216) and the conventional cell measures 6.562, 6.562 and 6.562 Å, with angles of 90.00, 90.00 and 90.00 degrees. The asymmetric unit holds Mn at (0.123, 0.123, 0.377), Co at (0.250, 0.250, 0.750) and Mo at (0.000, 0.000, 0.000).

## Tl3OsN (PBE)

Data for crystalline Tl3OsN at its relaxed geometry.

For the energy above the most stable polymorph in this dataset, the calculation gives 222 meV per atom. The crystal system is cubic. As for the formation energy without anion corrections: 1525.0 meV/atom. The total energy is -19.03 eV per formula unit.

The space group is Pm-3m (No. 221) and the conventional cell measures 4.762, 4.762 and 4.762 Å, with angles of 90.00, 90.00 and 90.00 degrees. The asymmetric unit holds Tl at (0.000, 0.000, 0.500), Os at (0.500, 0.500, 0.500) and N at (0.000, 0.000, 0.000).

## ZrTlRe2 (PBE)

Data for crystalline ZrTlRe2 at its relaxed geometry.

For the energy above the most stable polymorph in this dataset, the calculation gives 549 meV per atom. As for the energy of formation from the pure elements: 0.6968 eV per atom. The crystal system is trigonal. The total energy is -33.02 eV per formula unit.

The space group is R-3m (No. 166, hexagonal axes) and the conventional cell measures 3.1200, 3.1200 and 26.7706 Å, with angles of 90.00, 90.00 and 120.00 degrees. The asymmetric unit holds Zr at (0.0000, 0.0000, 0.0000), Tl at (0.0000, 0.0000, 0.5000) and Re at (0.0000, 0.0000, 0.2535).

## CoTcOs2 (PBE)

Data for crystalline CoTcOs2 at its relaxed geometry.

For the energy above the most stable polymorph in this dataset, the calculation gives 35 meV per atom. As for the energy of formation from the pure elements: 0.1351 eV per atom. The crystal system is tetragonal. The total energy is -39.39 eV per formula unit.

The space group is P4/mmm (No. 123) and the conventional cell measures 2.688, 2.688 and 7.463 Å, with angles of 90.00, 90.00 and 90.00 degrees. The asymmetric unit holds Co at (0.000, 0.000, 0.000), Tc at (0.000, 0.000, 0.500) and Os at (0.500, 0.500, 0.238).

## Li3NdPu2Se6 (PBE)

Data for crystalline Li3NdPu2Se6 at its relaxed geometry.

The crystal system is monoclinic. As for the formation energy without anion corrections: -1478.6 meV/atom. The total energy is -77.82 eV per formula unit.

The space group is C2/m (No. 12) and the conventional cell measures 7.199, 12.466 and 6.898 Å, with angles of 90.00, 110.36 and 90.00 degrees. The asymmetric unit holds Li at (0.000, 0.000, 0.000), Li at (0.000, 0.332, 0.000), Nd at (0.000, 0.500, 0.500), Pu at (0.000, 0.167, 0.500), Se at (0.245, 0.170, 0.244) and Se at (0.246, 0.000, 0.758).

## Mg2PdAu (PBE)

Data for crystalline Mg2PdAu at its relaxed geometry.

As for the energy of formation from the pure elements: -0.3583 eV per atom. The crystal system is tetragonal. The total energy is -13.09 eV per formula unit.

The space group is I-42d (No. 122) and the conventional cell measures 7.200, 7.200 and 5.763 Å, with angles of 90.00, 90.00 and 90.00 degrees. The asymmetric unit holds Mg at (0.242, 0.250, 0.125), Pd at (0.000, 0.000, 0.000) and Au at (0.000, 0.000, 0.500).

## Pm4AgBi (PBE)

Data for crystalline Pm4AgBi at its relaxed geometry.

As for the energy of formation from the pure elements: -0.2201 eV per atom. The crystal system is orthorhombic. The total energy is -27.05 eV per formula unit.

The space group is Cmcm (No. 63) and the conventional cell measures 5.726, 21.183 and 6.538 Å, with angles of 90.00, 90.00 and 90.00 degrees. The asymmetric unit holds Pm at (0.000, 0.057, 0.250), Pm at (0.000, 0.208, 0.003), Pm at (0.000, 0.381, 0.250), Ag at (0.000, 0.081, 0.750) and Bi at (0.000, 0.352, 0.750).

> What is the formula in the second record?

Mn4CoMo

Repeat the fourth record exactly.
## ZrTlRe2 (PBE)

Data for crystalline ZrTlRe2 at its relaxed geometry.

For the energy above the most stable polymorph in this dataset, the calculation gives 549 meV per atom. As for the energy of formation from the pure elements: 0.6968 eV per atom. The crystal system is trigonal. The total energy is -33.02 eV per formula unit.

The space group is R-3m (No. 166, hexagonal axes) and the conventional cell measures 3.1200, 3.1200 and 26.7706 Å, with angles of 90.00, 90.00 and 120.00 degrees. The asymmetric unit holds Zr at (0.0000, 0.0000, 0.0000), Tl at (0.0000, 0.0000, 0.5000) and Re at (0.0000, 0.0000, 0.2535).